# 1
The following is a DFT calculation (PBE) of a relaxed structure of SmZn2CuSi.

```
data_SmZn2CuSi
_cell_length_a 4.074
_cell_length_b 4.103
_cell_length_c 10.496
_cell_angle_alpha 90.00
_cell_angle_beta 90.00
_cell_angle_gamma 90.00
_space_group_name_H-M_alt 'P 1'
_space_group_IT_number 1
loop_
_space_group_symop_operation_xyz
'x,y,z'
loop_
_atom_site_label
_atom_site_type_symbol
_atom_site_fract_x
_atom_site_fract_y
_atom_site_fract_z
_atom_site_occupancy
Sm1 Sm 0.000 0.000 0.000 1
Sm2 Sm 0.500 0.500 0.500 1
Zn1 Zn 0.000 0.000 0.380 1
Zn2 Zn 0.000 0.500 0.245 1
Zn3 Zn 0.500 0.000 0.745 1
Zn4 Zn 0.500 0.500 0.880 1
Cu1 Cu 0.000 0.500 0.735 1
Cu2 Cu 0.500 0.000 0.235 1
Si1 Si 0.000 0.000 0.611 1
Si2 Si 0.500 0.500 0.111 1
```

magnetization = 0.00 μB/cell
uncorrected formation energy = -0.4269 eV per atom
Fermi-level density of states = 4.39 states/eV per cell

=====

# 2
The following is a DFT calculation (PBE) of a relaxed structure of Cs4Pu3PbO12.

```
data_Cs4Pu3PbO12
_cell_length_a 7.733
_cell_length_b 7.733
_cell_length_c 7.733
_cell_angle_alpha 109.47
_cell_angle_beta 109.47
_cell_angle_gamma 109.47
_space_group_name_H-M_alt 'P 1'
_space_group_IT_number 1
loop_
_space_group_symop_operation_xyz
'x,y,z'
loop_
_atom_site_label
_atom_site_type_symbol
_atom_site_fract_x
_atom_site_fract_y
_atom_site_fract_z
_atom_site_occupancy
Cs1 Cs 0.000 0.000 0.500 1
Cs2 Cs 0.000 0.500 0.000 1
Cs3 Cs 0.500 0.000 0.000 1
Cs4 Cs 0.500 0.500 0.500 1
Pu1 Pu 0.000 0.500 0.500 1
Pu2 Pu 0.500 0.000 0.500 1
Pu3 Pu 0.500 0.500 0.000 1
Pb1 Pb 0.000 0.000 0.000 1
O1 O 0.000 0.285 0.285 1
O2 O 0.000 0.715 0.715 1
O3 O 0.250 0.500 0.750 1
O4 O 0.250 0.750 0.500 1
O5 O 0.285 0.000 0.285 1
O6 O 0.285 0.285 0.000 1
O7 O 0.500 0.250 0.750 1
O8 O 0.500 0.750 0.250 1
O9 O 0.715 0.000 0.715 1
O10 O 0.715 0.715 0.000 1
O11 O 0.750 0.250 0.500 1
O12 O 0.750 0.500 0.250 1
```

magnetization = 6.00 μB/cell
uncorrected formation energy = -2.2139 eV per atom
Fermi-level density of states = 4.38 states/eV per cell

=====

# 3
The following is a DFT calculation (PBE) of a relaxed structure of TiVB.

```
data_TiVB
_cell_length_a 3.192
_cell_length_b 14.407
_cell_length_c 3.039
_cell_angle_alpha 90.00
_cell_angle_beta 90.00
_cell_angle_gamma 90.00
_space_group_name_H-M_alt 'P 1'
_space_group_IT_number 1
loop_
_space_group_symop_operation_xyz
'x,y,z'
loop_
_atom_site_label
_atom_site_type_symbol
_atom_site_fract_x
_atom_site_fract_y
_atom_site_fract_z
_atom_site_occupancy
Ti1 Ti 0.000 0.088 0.250 1
Ti2 Ti 0.000 0.912 0.750 1
Ti3 Ti 0.500 0.412 0.750 1
Ti4 Ti 0.500 0.588 0.250 1
V1 V 0.000 0.293 0.250 1
V2 V 0.000 0.707 0.750 1
V3 V 0.500 0.207 0.750 1
V4 V 0.500 0.793 0.250 1
B1 B 0.000 0.468 0.250 1
B2 B 0.000 0.532 0.750 1
B3 B 0.500 0.032 0.750 1
B4 B 0.500 0.968 0.250 1
```

offset from the most stable computed form = 0 meV per atom
energy relative to the elements = -1.57 eV/f.u.
magnetization = 0.00 μB/cell
Fermi-level density of states = 10.77 states/eV per cell

=====

# 4
The following is a DFT calculation (PBE) of a relaxed structure of RbOsI3.

```
data_RbOsI3
_cell_length_a 5.608
_cell_length_b 5.608
_cell_length_c 5.608
_cell_angle_alpha 90.00
_cell_angle_beta 90.00
_cell_angle_gamma 90.00
_space_group_name_H-M_alt 'P 1'
_space_group_IT_number 1
loop_
_space_group_symop_operation_xyz
'x,y,z'
loop_
_atom_site_label
_atom_site_type_symbol
_atom_site_fract_x
_atom_site_fract_y
_atom_site_fract_z
_atom_site_occupancy
Rb1 Rb 0.000 0.000 0.000 1
Os1 Os 0.500 0.500 0.500 1
I1 I 0.000 0.500 0.500 1
I2 I 0.500 0.000 0.500 1
I3 I 0.500 0.500 0.000 1
```

offset from the most stable computed form = 0 meV per atom
magnetization = 1.74 μB/cell
uncorrected formation energy = -0.0154 eV per atom
Fermi-level density of states = 5.59 states/eV per cell

=====

# 5
The following is a DFT calculation (PBE) of a relaxed structure of La7PrEr3.

```
data_La7PrEr3
_cell_length_a 6.504
_cell_length_b 7.856
_cell_length_c 7.869
_cell_angle_alpha 82.17
_cell_angle_beta 85.20
_cell_angle_gamma 85.30
_space_group_name_H-M_alt 'P 1'
_space_group_IT_number 1
loop_
_space_group_symop_operation_xyz
'x,y,z'
loop_
_atom_site_label
_atom_site_type_symbol
_atom_site_fract_x
_atom_site_fract_y
_atom_site_fract_z
_atom_site_occupancy
La1 La 0.000 0.000 0.000 1
La2 La 0.212 0.265 0.265 1
La3 La 0.264 0.564 0.924 1
La4 La 0.264 0.925 0.565 1
La5 La 0.736 0.075 0.435 1
La6 La 0.736 0.436 0.076 1
La7 La 0.788 0.735 0.735 1
Pr1 Pr 0.500 0.000 0.000 1
Er1 Er 0.001 0.666 0.334 1
Er2 Er 0.500 0.500 0.500 1
Er3 Er 0.999 0.334 0.666 1
```

offset from the most stable computed form = 36 meV per atom
energy relative to the elements = 2.34 eV/f.u.
magnetization = 0.02 μB/cell
Fermi-level density of states = 16.40 states/eV per cell

=====

# 6
The following is a DFT calculation (PBE) of a relaxed structure of MoPdRh4.

```
data_MoPdRh4
_cell_length_a 6.009
_cell_length_b 6.009
_cell_length_c 5.184
_cell_angle_alpha 90.65
_cell_angle_beta 90.65
_cell_angle_gamma 101.72
_space_group_name_H-M_alt 'P 1'
_space_group_IT_number 1
loop_
_space_group_symop_operation_xyz
'x,y,z'
loop_
_atom_site_label
_atom_site_type_symbol
_atom_site_fract_x
_atom_site_fract_y
_atom_site_fract_z
_atom_site_occupancy
Mo1 Mo 0.195 0.805 0.750 1
Mo2 Mo 0.805 0.195 0.250 1
Pd1 Pd 0.474 0.526 0.750 1
Pd2 Pd 0.526 0.474 0.250 1
Rh1 Rh 0.073 0.576 0.256 1
Rh2 Rh 0.178 0.182 0.998 1
Rh3 Rh 0.182 0.178 0.498 1
Rh4 Rh 0.424 0.927 0.244 1
Rh5 Rh 0.576 0.073 0.756 1
Rh6 Rh 0.818 0.822 0.502 1
Rh7 Rh 0.822 0.818 0.002 1
Rh8 Rh 0.927 0.424 0.744 1
```

energy relative to the elements = 0.63 eV/f.u.
magnetization = 0.00 μB/cell
Fermi-level density of states = 17.79 states/eV per cell

=====

# 7
The following is a DFT calculation (PBE) of a relaxed structure of Y2AlZn12Ni3.

```
data_Y2AlZn12Ni3
_cell_length_a 6.666
_cell_length_b 6.666
_cell_length_c 6.666
_cell_angle_alpha 84.63
_cell_angle_beta 84.63
_cell_angle_gamma 84.63
_space_group_name_H-M_alt 'P 1'
_space_group_IT_number 1
loop_
_space_group_symop_operation_xyz
'x,y,z'
loop_
_atom_site_label
_atom_site_type_symbol
_atom_site_fract_x
_atom_site_fract_y
_atom_site_fract_z
_atom_site_occupancy
Y1 Y 0.247 0.247 0.247 1
Y2 Y 0.753 0.753 0.753 1
Al1 Al 0.000 0.000 0.000 1
Zn1 Zn 0.155 0.573 0.573 1
Zn2 Zn 0.199 0.199 0.714 1
Zn3 Zn 0.199 0.714 0.199 1
Zn4 Zn 0.286 0.801 0.801 1
Zn5 Zn 0.427 0.427 0.845 1
Zn6 Zn 0.427 0.845 0.427 1
Zn7 Zn 0.573 0.155 0.573 1
Zn8 Zn 0.573 0.573 0.155 1
Zn9 Zn 0.714 0.199 0.199 1
Zn10 Zn 0.801 0.286 0.801 1
Zn11 Zn 0.801 0.801 0.286 1
Zn12 Zn 0.845 0.427 0.427 1
Ni1 Ni 0.000 0.000 0.500 1
Ni2 Ni 0.000 0.500 0.000 1
Ni3 Ni 0.500 0.000 0.000 1
```

energy relative to the elements = -0.83 eV/f.u.
magnetization = 0.00 μB/cell
Fermi-level density of states = 7.55 states/eV per cell

=====

# 8
The following is a DFT calculation (PBE) of a relaxed structure of SrSc2Ir2.

```
data_SrSc2Ir2
_cell_length_a 4.599
_cell_length_b 4.599
_cell_length_c 11.449
_cell_angle_alpha 90.00
_cell_angle_beta 90.00
_cell_angle_gamma 90.00
_space_group_name_H-M_alt 'P 1'
_space_group_IT_number 1
loop_
_space_group_symop_operation_xyz
'x,y,z'
loop_
_atom_site_label
_atom_site_type_symbol
_atom_site_fract_x
_atom_site_fract_y
_atom_site_fract_z
_atom_site_occupancy
Sr1 Sr 0.000 0.000 0.000 1
Sr2 Sr 0.500 0.500 0.500 1
Sc1 Sc 0.000 0.000 0.355 1
Sc2 Sc 0.000 0.000 0.645 1
Sc3 Sc 0.500 0.500 0.145 1
Sc4 Sc 0.500 0.500 0.855 1
Ir1 Ir 0.000 0.500 0.250 1
Ir2 Ir 0.000 0.500 0.750 1
Ir3 Ir 0.500 0.000 0.250 1
Ir4 Ir 0.500 0.000 0.750 1
```

offset from the most stable computed form = 368 meV per atom
energy relative to the elements = -1.69 eV/f.u.
magnetization = 1.32 μB/cell
Fermi-level density of states = 4.88 states/eV per cell